1.
Entry from Alexandria via LeMat-Bulk: an optimized crystal structure of Lu2RhSe (PBE).

Calculated values
**Size of the total moment**: 0.0 μB per formula unit
**Formation energy (no corrections)**: -0.4707 eV per atom

Unit cell a=8.944 b=8.944 c=8.944 alpha=23.02 beta=23.02 gamma=23.02
Fractional coordinates of all 4 atoms:
Lu 0.094 0.094 0.094
Lu 0.906 0.906 0.906
Rh 0.000 0.000 0.000
Se 0.500 0.500 0.500

=====

2.
Entry from Alexandria via LeMat-Bulk: an optimized crystal structure of LuRhSe2 (PBE).

Calculated values
**Size of the total moment**: 0.0 μB per formula unit
**Formation energy (no corrections)**: -0.4770 eV per atom

Unit cell a=8.377 b=8.377 c=8.377 alpha=25.82 beta=25.82 gamma=25.82
Fractional coordinates of all 4 atoms:
Lu 0.000 0.000 0.000
Rh 0.500 0.500 0.500
Se 0.114 0.114 0.114
Se 0.886 0.886 0.886